An optimized crystal structure of MnAgRh2N. Source: Alexandria via LeMat-Bulk, functional PBE-GGA.

Unit cell a=4.1006 b=4.1006 c=4.0167 alpha=90.00 beta=90.00 gamma=90.00
With the nearest neighbours (Å) after each atom.
Element x y z (fractional)
Rh1 0.5000 0.0000 0.0000  2 N 2.05
Mn1 0.0000 0.0000 0.5000  2 N 2.01
Ag1 0.5000 0.5000 0.5000  8 Rh 2.87, 4 Mn 2.90
Rh2 0.0000 0.5000 0.0000  2 N 2.05
N1 0.0000 0.0000 0.0000  2 Mn 2.01, 4 Rh 2.05

Summary:
- Calculated total energy: -6.9778 eV per atom
- Density: 9.41 Mg/m³